(1)
! AgGeCl6 (PBE, relaxed); values from VASP
! - Electronic total energy: -21.491 eV per cell
&SYSTEM
  ibrav = 0, nat = 8, ntyp = 3
/
ATOMIC_SPECIES
Ag 107.87 Ag.upf
Cl 35.45 Cl.upf
Ge 72.64 Ge.upf
ATOMIC_POSITIONS crystal
Ag 0.500 0.500 0.500
Cl 0.493 0.007 0.493
Cl 0.007 0.493 0.007
Cl 0.007 0.493 0.493
Cl 0.007 0.007 0.493
Cl 0.493 0.007 0.007
Ge 0.250 0.250 0.250
Cl 0.493 0.493 0.007
CELL_PARAMETERS angstrom
2.834 0.183 6.055
1.253 5.880 2.929
-3.582 1.920 5.311



(2)
! In2AgGeCl6 (PBE, relaxed); values from VASP
! - Electronic total energy: -31.094 eV per cell
&SYSTEM
  ibrav = 0, nat = 10, ntyp = 4
/
ATOMIC_SPECIES
In 114.82 In.upf
Cl 35.45 Cl.upf
Ge 72.64 Ge.upf
Ag 107.87 Ag.upf
ATOMIC_POSITIONS crystal
In 0.750 0.750 0.750
Cl 0.257 0.743 0.743
Cl 0.743 0.257 0.257
Ge 0.500 0.500 0.500
Cl 0.257 0.743 0.257
Ag 0.000 0.000 0.000
Cl 0.743 0.257 0.743
Cl 0.257 0.257 0.743
In 0.250 0.250 0.250
Cl 0.743 0.743 0.257
CELL_PARAMETERS angstrom
0.000 5.120 5.120
5.120 0.000 5.120
5.120 5.120 0.000



(3)
! Tl2AgGeCl6 (PBE, relaxed); values from VASP
! - Electronic total energy: -31.333 eV per cell
&SYSTEM
  ibrav = 0, nat = 10, ntyp = 4
/
ATOMIC_SPECIES
Cl 35.45 Cl.upf
Ag 107.87 Ag.upf
Tl 204.38 Tl.upf
Ge 72.64 Ge.upf
ATOMIC_POSITIONS crystal
Cl 0.243 0.757 0.243
Ag 0.500 0.500 0.500
Cl 0.757 0.757 0.243
Cl 0.757 0.243 0.243
Cl 0.243 0.757 0.757
Tl 0.250 0.250 0.250
Tl 0.750 0.750 0.750
Cl 0.243 0.243 0.757
Ge 0.000 0.000 0.000
Cl 0.757 0.243 0.757
CELL_PARAMETERS angstrom
0.000 5.130 5.130
5.130 0.000 5.130
5.130 5.130 0.000



(4)
! AgHClO (PBE, relaxed); values from VASP
! - Electronic total energy: -29.199 eV per cell
&SYSTEM
  ibrav = 0, nat = 8, ntyp = 4
/
ATOMIC_SPECIES
Ag 107.87 Ag.upf
H 1.01 H.upf
O 16.00 O.upf
Cl 35.45 Cl.upf
ATOMIC_POSITIONS crystal
Ag 0.253 0.253 0.822
H 0.113 0.113 0.135
O 0.790 0.790 0.873
Ag 0.747 0.747 0.178
O 0.210 0.210 0.127
H 0.887 0.887 0.865
Cl 0.433 0.433 0.676
Cl 0.567 0.567 0.324
CELL_PARAMETERS angstrom
4.954 -2.151 0.000
4.954 2.151 0.000
-2.930 0.000 6.085



(5)
! Rb2HfAgCl6 (PBE, relaxed); values from VASP
! - M_tot: 1.0 μB/f.u.
! - Electronic total energy: -40.876 eV per cell
&SYSTEM
  ibrav = 0, nat = 10, ntyp = 4
/
ATOMIC_SPECIES
Rb 85.47 Rb.upf
Cl 35.45 Cl.upf
Hf 178.49 Hf.upf
Ag 107.87 Ag.upf
ATOMIC_POSITIONS crystal
Rb 0.250 0.250 0.250
Cl 0.760 0.240 0.760
Hf 0.000 0.000 0.000
Cl 0.760 0.760 0.240
Cl 0.240 0.760 0.760
Ag 0.500 0.500 0.500
Rb 0.750 0.750 0.750
Cl 0.240 0.760 0.240
Cl 0.240 0.240 0.760
Cl 0.760 0.240 0.240
CELL_PARAMETERS angstrom
0.424 -6.905 -2.621
-6.044 -3.315 -2.685
-0.618 -1.242 -7.267



(6)
! Ag2HgICl3 (PBE, relaxed); values from VASP
! - Electronic total energy: -16.235 eV per cell
&SYSTEM
  ibrav = 0, nat = 7, ntyp = 4
/
ATOMIC_SPECIES
Hg 200.59 Hg.upf
Cl 35.45 Cl.upf
I 126.90 I.upf
Ag 107.87 Ag.upf
ATOMIC_POSITIONS crystal
Hg 0.004 0.983 0.994
Cl 0.867 0.882 0.254
I 0.141 0.638 0.712
Ag 0.501 0.501 0.008
Ag 0.741 0.245 0.499
Cl 0.359 0.363 0.254
Cl 0.639 0.138 0.778
CELL_PARAMETERS angstrom
-3.483 -4.182 -2.633
-1.917 -1.549 5.552
-2.025 6.751 -1.696



(7)
! Rb2AgHg2Cl8 (PBE, relaxed); values from VASP
! - Electronic total energy: -32.929 eV per cell
&SYSTEM
  ibrav = 0, nat = 13, ntyp = 4
/
ATOMIC_SPECIES
Cl 35.45 Cl.upf
Rb 85.47 Rb.upf
Ag 107.87 Ag.upf
Hg 200.59 Hg.upf
ATOMIC_POSITIONS crystal
Cl 0.388 0.887 0.138
Cl 0.612 0.113 0.862
Cl 0.113 0.612 0.862
Cl 0.346 0.346 0.497
Cl 0.924 0.924 0.306
Rb 0.396 0.396 0.169
Rb 0.604 0.604 0.831
Ag 0.000 0.000 0.000
Cl 0.887 0.388 0.138
Cl 0.654 0.654 0.503
Cl 0.076 0.076 0.694
Hg 0.864 0.864 0.606
Hg 0.136 0.136 0.394
CELL_PARAMETERS angstrom
5.846 -3.458 0.000
5.846 3.458 0.000
-3.067 0.000 9.447



(8)
! AgHgSCl (PBE, relaxed); values from VASP
! - Electronic total energy: -41.892 eV per cell
&SYSTEM
  ibrav = 0, nat = 16, ntyp = 4
/
ATOMIC_SPECIES
Hg 200.59 Hg.upf
Cl 35.45 Cl.upf
Ag 107.87 Ag.upf
S 32.06 S.upf
ATOMIC_POSITIONS crystal
Hg 0.000 0.500 0.000
Cl 0.750 0.000 0.486
Ag 0.411 0.000 0.295
Ag 0.089 0.000 0.295
Ag 0.911 0.000 0.705
Ag 0.589 0.000 0.705
Cl 0.250 0.000 0.514
Cl 0.250 0.000 0.046
Hg 0.500 0.500 0.000
S 0.990 0.500 0.255
Hg 0.250 0.500 0.723
S 0.490 0.500 0.745
S 0.510 0.500 0.255
Cl 0.750 0.000 0.954
Hg 0.750 0.500 0.277
S 0.010 0.500 0.745
CELL_PARAMETERS angstrom
-2.791 4.954 8.215
-4.187 -1.896 -0.279
2.887 -7.152 5.294



(9)
! AgHgSeCl (PBE, relaxed); values from VASP
! - Electronic total energy: -39.652 eV per cell
&SYSTEM
  ibrav = 0, nat = 16, ntyp = 4
/
ATOMIC_SPECIES
Se 78.96 Se.upf
Cl 35.45 Cl.upf
Hg 200.59 Hg.upf
Ag 107.87 Ag.upf
ATOMIC_POSITIONS crystal
Se 0.154 0.884 0.000
Cl 0.855 0.363 0.500
Hg 0.116 0.240 0.000
Cl 0.355 0.137 0.500
Hg 0.616 0.260 0.000
Se 0.654 0.616 0.000
Se 0.846 0.116 0.000
Hg 0.884 0.760 0.000
Ag 0.771 0.038 0.500
Hg 0.384 0.740 0.000
Cl 0.145 0.637 0.500
Ag 0.229 0.962 0.500
Ag 0.729 0.538 0.500
Cl 0.645 0.863 0.500
Se 0.346 0.384 0.000
Ag 0.271 0.462 0.500
CELL_PARAMETERS angstrom
-5.469 -2.569 -3.627
8.512 -5.643 -8.839
0.111 -3.897 2.594



(10)
! Tl2AgHgCl6 (PBE, relaxed); values from VASP
! - Electronic total energy: -25.609 eV per cell
&SYSTEM
  ibrav = 0, nat = 10, ntyp = 4
/
ATOMIC_SPECIES
Cl 35.45 Cl.upf
Ag 107.87 Ag.upf
Tl 204.38 Tl.upf
Hg 200.59 Hg.upf
ATOMIC_POSITIONS crystal
Cl 0.753 0.247 0.247
Cl 0.247 0.753 0.247
Cl 0.247 0.753 0.753
Ag 0.000 0.000 0.000
Cl 0.753 0.247 0.753
Cl 0.753 0.753 0.247
Tl 0.750 0.750 0.750
Hg 0.500 0.500 0.500
Cl 0.247 0.247 0.753
Tl 0.250 0.250 0.250
CELL_PARAMETERS angstrom
4.004 2.561 5.610
1.827 7.118 0.266
-3.089 4.403 5.014



(11)
! Ho3AgCl (PBE, relaxed); values from VASP
! - M_tot: 0.0 μB/f.u.
! - Electronic total energy: -19.942 eV per cell
&SYSTEM
  ibrav = 0, nat = 5, ntyp = 3
/
ATOMIC_SPECIES
Ag 107.87 Ag.upf
Cl 35.45 Cl.upf
Ho 164.93 Ho.upf
ATOMIC_POSITIONS crystal
Ag 0.000 0.000 0.000
Cl 0.500 0.500 0.500
Ho 0.500 0.000 0.500
Ho 0.500 0.500 0.000
Ho 0.000 0.500 0.500
CELL_PARAMETERS angstrom
-1.279 -1.873 4.539
3.664 -3.486 -0.406
3.268 3.175 2.231



(12)
! AgICl6 (PBE, relaxed); values from VASP
! - Electronic total energy: -15.914 eV per cell
&SYSTEM
  ibrav = 0, nat = 8, ntyp = 3
/
ATOMIC_SPECIES
Cl 35.45 Cl.upf
I 126.90 I.upf
Ag 107.87 Ag.upf
ATOMIC_POSITIONS crystal
Cl 0.999 0.501 0.999
Cl 0.501 0.999 0.999
Cl 0.999 0.501 0.501
I 0.250 0.250 0.250
Cl 0.501 0.999 0.501
Cl 0.999 0.999 0.501
Ag 0.000 0.000 0.000
Cl 0.501 0.501 0.999
CELL_PARAMETERS angstrom
0.986 -2.440 6.495
-4.959 0.895 4.869
-3.705 -5.495 2.279